# 1
An optimized crystal structure of Al2Si3. Source: Alexandria, functional PBE-GGA.

Output
SG = P-3m1, No. 164

Cell: 3.8344 3.8344 6.9640 Å, 90.00 90.00 120.00°
With the nearest neighbours (Å) after each atom.
Positions (direct):
1 Al 0.3333 0.6667 0.3206  7 Si 2.54-2.79
2 Al 0.6667 0.3333 0.6794  7 Si 2.54-2.79
3 Si 0.0000 0.0000 0.5000  6 Al 2.54
4 Si 0.3333 0.6667 0.9239  3 Si 2.45
5 Si 0.6667 0.3333 0.0761  3 Si 2.45

***

# 2
An optimized crystal structure of AlSi3. Source: Alexandria, functional PBE-GGA.

Output
Energy above the lowest structure with this stoichiometry = 120 meV per atom
SG = P-6m2, No. 187

Cell: 2.7608 2.7608 9.0381 Å, 90.00 90.00 120.00°
With the nearest neighbours (Å) after each atom.
Positions (direct):
1 Al 0.0000 0.0000 0.0000  6 Al 2.76, 6 Si 2.80
2 Si 0.0000 0.0000 0.5000  12 Si 2.74-2.76
3 Si 0.6667 0.3333 0.2541  9 Si 2.74-2.76, 3 Al 2.80
4 Si 0.6667 0.3333 0.7459  9 Si 2.74-2.76, 3 Al 2.80

***

# 3
An optimized crystal structure of AlSi2. Source: Alexandria, functional PBE-GGA.

Output
SG = I4_1/amd, No. 141

Cell: 8.6758 8.6758 8.6758 Å, 156.86 156.86 32.96°
With the nearest neighbours (Å) after each atom.
Positions (direct):
1 Al 0.3750 0.6250 0.7500  8 Si 2.76
2 Al 0.6250 0.3750 0.2500  8 Si 2.76
3 Si 0.0500 0.8000 0.2500  3 Si 2.41-2.50
4 Si 0.2000 0.9500 0.2500  3 Si 2.41-2.50
5 Si 0.8000 0.0500 0.7500  3 Si 2.41-2.50
6 Si 0.9500 0.2000 0.7500  3 Si 2.41-2.50

***

no.,calculated volume (A^3/atom),uncorrected formation energy (eV per atom),spin magnetization (μB/f.u.)
1,17.7,0.214,0.0
2,14.9,0.374,0.0
3,16.8,0.347,0.0